# BaSrMg2Zn | Alexandria | meta-GGA SCAN | single point on PBEsol structure
data_BaSrMg2Zn
_chemical_formula_sum 'Ba1 Sr1 Mg2 Zn1'
_cell_length_a 6.070
_cell_length_b 6.070
_cell_length_c 5.642
_cell_angle_alpha 90.00
_cell_angle_beta 90.00
_cell_angle_gamma 90.00
_space_group_name_H-M_alt 'P 1'
_space_group_IT_number 1
_space_group_name_Hall 'P 1'
loop_
_atom_site_label
_atom_site_type_symbol
_atom_site_fract_x
_atom_site_fract_y
_atom_site_fract_z
_atom_site_occupancy
Ba1 Ba 0.000 0.000 0.000 1
Sr1 Sr 0.500 0.500 0.500 1
Mg1 Mg 0.000 0.500 0.500 1
Mg2 Mg 0.500 0.000 0.500 1
Zn1 Zn 0.500 0.500 0.000 1
# **SG**: P4/mmm (123)

***

# BaMg2Ta | Alexandria | meta-GGA SCAN | single point on PBEsol structure
data_BaMg2Ta
_chemical_formula_sum 'Ba1 Mg2 Ta1'
_cell_length_a 5.616
_cell_length_b 5.616
_cell_length_c 5.616
_cell_angle_alpha 130.05
_cell_angle_beta 130.05
_cell_angle_gamma 73.32
_space_group_name_H-M_alt 'P 1'
_space_group_IT_number 1
_space_group_name_Hall 'P 1'
loop_
_atom_site_label
_atom_site_type_symbol
_atom_site_fract_x
_atom_site_fract_y
_atom_site_fract_z
_atom_site_occupancy
Ba1 Ba 0.000 0.000 0.000 1
Mg1 Mg 0.250 0.750 0.500 1
Mg2 Mg 0.750 0.250 0.500 1
Ta1 Ta 0.500 0.500 0.000 1
# **SG**: I4/mmm (139)

***

# BaMgTa2 | Alexandria | meta-GGA SCAN | single point on PBEsol structure
data_BaMgTa2
_chemical_formula_sum 'Ba1 Mg1 Ta2'
_cell_length_a 4.998
_cell_length_b 4.998
_cell_length_c 4.998
_cell_angle_alpha 60.00
_cell_angle_beta 60.00
_cell_angle_gamma 60.00
_space_group_name_H-M_alt 'P 1'
_space_group_IT_number 1
_space_group_name_Hall 'P 1'
loop_
_atom_site_label
_atom_site_type_symbol
_atom_site_fract_x
_atom_site_fract_y
_atom_site_fract_z
_atom_site_occupancy
Ba1 Ba 0.000 0.000 0.000 1
Mg1 Mg 0.250 0.250 0.250 1
Ta1 Ta 0.500 0.500 0.500 1
Ta2 Ta 0.750 0.750 0.750 1
# **SG**: F-43m (216)

***

# BaMgTa2 | Alexandria | meta-GGA SCAN | single point on PBEsol structure
data_BaMgTa2
_chemical_formula_sum 'Ba1 Mg1 Ta2'
_cell_length_a 4.948
_cell_length_b 4.948
_cell_length_c 7.306
_cell_angle_alpha 93.84
_cell_angle_beta 93.84
_cell_angle_gamma 35.52
_space_group_name_H-M_alt 'P 1'
_space_group_IT_number 1
_space_group_name_Hall 'P 1'
loop_
_atom_site_label
_atom_site_type_symbol
_atom_site_fract_x
_atom_site_fract_y
_atom_site_fract_z
_atom_site_occupancy
Ba1 Ba 0.000 0.000 0.000 1
Mg1 Mg 0.244 0.244 0.667 1
Ta1 Ta 0.510 0.510 0.437 1
Ta2 Ta 0.772 0.772 0.332 1
# **SG**: Cm (8)

***

# BaMgTa2 | Alexandria | meta-GGA SCAN | single point on PBEsol structure
data_BaMgTa2
_chemical_formula_sum 'Ba1 Mg1 Ta2'
_cell_length_a 11.424
_cell_length_b 11.424
_cell_length_c 11.424
_cell_angle_alpha 15.22
_cell_angle_beta 15.22
_cell_angle_gamma 15.22
_space_group_name_H-M_alt 'P 1'
_space_group_IT_number 1
_space_group_name_Hall 'P 1'
loop_
_atom_site_label
_atom_site_type_symbol
_atom_site_fract_x
_atom_site_fract_y
_atom_site_fract_z
_atom_site_occupancy
Ba1 Ba 0.000 0.000 0.000 1
Mg1 Mg 0.500 0.500 0.500 1
Ta1 Ta 0.241 0.241 0.241 1
Ta2 Ta 0.759 0.759 0.759 1
# **SG**: R-3m (166)

***

# BaMg2Tc | Alexandria | meta-GGA SCAN | single point on PBEsol structure
data_BaMg2Tc
_chemical_formula_sum 'Ba1 Mg2 Tc1'
_cell_length_a 5.225
_cell_length_b 5.225
_cell_length_c 5.225
_cell_angle_alpha 124.20
_cell_angle_beta 124.20
_cell_angle_gamma 82.87
_space_group_name_H-M_alt 'P 1'
_space_group_IT_number 1
_space_group_name_Hall 'P 1'
loop_
_atom_site_label
_atom_site_type_symbol
_atom_site_fract_x
_atom_site_fract_y
_atom_site_fract_z
_atom_site_occupancy
Ba1 Ba 0.000 0.000 0.000 1
Mg1 Mg 0.500 0.500 0.000 1
Mg2 Mg 0.750 0.250 0.500 1
Tc1 Tc 0.250 0.750 0.500 1
# **Distance to the lowest polymorph of the same formula**: 0.251 eV/atom
# **SG**: I-4m2 (119)

***

Respective energy values: -16.5434; -28.1773; -43.4523; -43.6819; -43.3877; -20.3825 eV per atom.
Respective volume values: 41.568; 25.333; 22.072; 25.921; 22.381; 23.423 Å³/atom.